(1)
ZnHgPO2: relaxed, PBE-GGA.

abc: 3.623 3.623 5.455
angles: 90.00 90.00 90.00
Sites, in units of the cell vectors:
1 Zn 0.000 0.000 0.000
2 Hg 0.500 0.500 0.000
3 P 0.000 0.000 0.500
4 O 0.000 0.500 0.500
5 O 0.500 0.000 0.500

As for the spin magnetization: 0.000 μB per formula unit. As for the uncorrected formation energy: -0.3322 eV/atom. For the energy relative to the lowest polymorph listed for this composition, the calculation gives 0 meV per atom.

***

(2)
CdIrSe2: relaxed, PBE-GGA.

abc: 3.787 3.787 7.304
angles: 105.82 105.82 60.13
Sites, in units of the cell vectors:
1 Cd 0.000 0.000 0.000
2 Ir 0.500 0.500 0.500
3 Se 0.231 0.231 0.685
4 Se 0.769 0.769 0.315

As for the spin magnetization: 0.000 μB per formula unit. As for the uncorrected formation energy: -0.1733 eV/atom.

***

(3)
La4Dy5Sc: relaxed, PBE-GGA.

abc: 8.725 8.725 11.293
angles: 92.22 92.22 23.31
Sites, in units of the cell vectors:
1 La 0.027 0.027 0.242
2 La 0.332 0.332 0.254
3 La 0.668 0.668 0.746
4 La 0.973 0.973 0.758
5 Dy 0.168 0.168 0.042
6 Dy 0.172 0.172 0.445
7 Dy 0.500 0.500 0.500
8 Dy 0.828 0.828 0.555
9 Dy 0.832 0.832 0.958
10 Sc 0.500 0.500 0.000

As for the spin magnetization: 0.000 μB per formula unit. Its formation enthalpy at 0 K is 188 meV/atom.

***

(4)
Ac2BeGe3Au4: relaxed, PBE-GGA.

abc: 4.508 4.508 10.601
angles: 90.00 90.00 90.00
Sites, in units of the cell vectors:
1 Ac 0.000 0.500 0.249
2 Ac 0.500 0.000 0.751
3 Be 0.500 0.500 0.000
4 Ge 0.000 0.000 0.000
5 Ge 0.000 0.500 0.639
6 Ge 0.500 0.000 0.361
7 Au 0.000 0.000 0.500
8 Au 0.000 0.500 0.887
9 Au 0.500 0.000 0.113
10 Au 0.500 0.500 0.500

As for the spin magnetization: 0.000 μB per formula unit. Its formation enthalpy at 0 K is -558 meV/atom.

***

(5)
Pm2PuAu8: relaxed, PBE-GGA.

abc: 8.643 8.643 5.232
angles: 107.41 107.41 124.77
Sites, in units of the cell vectors:
1 Pm 0.185 0.815 0.000
2 Pm 0.815 0.185 0.000
3 Pu 0.500 0.500 0.500
4 Au 0.003 0.003 0.754
5 Au 0.140 0.405 0.767
6 Au 0.300 0.700 0.500
7 Au 0.405 0.140 0.767
8 Au 0.595 0.860 0.233
9 Au 0.700 0.300 0.500
10 Au 0.860 0.595 0.233
11 Au 0.997 0.997 0.246

As for the spin magnetization: 5.798 μB per formula unit. Its formation enthalpy at 0 K is -585 meV/atom.

***

(6)
CrMoPb: relaxed, PBE-GGA.

abc: 3.139 3.139 6.720
angles: 90.00 90.00 120.00
Sites, in units of the cell vectors:
1 Cr 0.000 0.000 0.000
2 Mo 0.667 0.333 0.230
3 Pb 0.333 0.667 0.626

As for the spin magnetization: 0.000 μB per formula unit. Its formation enthalpy at 0 K is 614 meV/atom. For the energy relative to the lowest polymorph listed for this composition, the calculation gives 1 meV per atom.

***

(7)
LiAcSb2: relaxed, PBE-GGA.

abc: 5.070 5.070 4.540
angles: 90.00 90.00 90.00
Sites, in units of the cell vectors:
1 Li 0.000 0.000 0.000
2 Ac 0.500 0.500 0.000
3 Sb 0.000 0.500 0.500
4 Sb 0.500 0.000 0.500

As for the spin magnetization: 0.000 μB per formula unit. As for the uncorrected formation energy: -0.6717 eV/atom. For the energy relative to the lowest polymorph listed for this composition, the calculation gives 204 meV per atom.

***

(8)
MnHOsPb2: relaxed, PBE-GGA.

abc: 5.360 5.360 3.185
angles: 90.00 90.00 90.00
Sites, in units of the cell vectors:
1 Mn 0.000 0.000 0.000
2 H 0.000 0.000 0.500
3 Os 0.500 0.500 0.500
4 Pb 0.000 0.500 0.000
5 Pb 0.500 0.000 0.000

As for the spin magnetization: 4.060 μB per formula unit. For the electronic total energy, the calculation gives -26.44 eV for the cell shown.

***

(9)
LiCa2La: relaxed, PBE-GGA.

abc: 4.038 4.182 8.369
angles: 90.00 90.75 90.00
Sites, in units of the cell vectors:
1 Li 0.000 0.000 0.000
2 Ca 0.497 0.500 0.222
3 Ca 0.503 0.500 0.778
4 La 0.000 0.000 0.500

As for the spin magnetization: 0.000 μB per formula unit. Its formation enthalpy at 0 K is 84 meV/atom. For the energy relative to the lowest polymorph listed for this composition, the calculation gives 11 meV per atom.

***

(10)
CsPmSeCl2: relaxed, PBE-GGA.

abc: 9.851 9.851 8.476
angles: 90.00 90.00 154.90
Sites, in units of the cell vectors:
1 Cs 0.211 0.789 0.750
2 Cs 0.789 0.211 0.250
3 Pm 0.500 0.500 0.000
4 Pm 0.500 0.500 0.500
5 Se 0.007 0.993 0.750
6 Se 0.993 0.007 0.250
7 Cl 0.360 0.640 0.517
8 Cl 0.360 0.640 0.983
9 Cl 0.640 0.360 0.017
10 Cl 0.640 0.360 0.483

As for the spin magnetization: 0.000 μB per formula unit. As for the uncorrected formation energy: -1.9969 eV/atom.

***

(11)
Sm8Ge3Te4N: relaxed, PBE-GGA.

abc: 8.431 8.431 8.705
angles: 118.96 118.96 60.01
Sites, in units of the cell vectors:
1 Sm 0.226 0.226 0.708
2 Sm 0.227 0.756 0.709
3 Sm 0.244 0.773 0.291
4 Sm 0.258 0.258 0.273
5 Sm 0.742 0.742 0.727
6 Sm 0.756 0.227 0.709
7 Sm 0.773 0.244 0.291
8 Sm 0.774 0.774 0.292
9 Ge 0.000 0.500 0.500
10 Ge 0.500 0.000 0.500
11 Ge 0.500 0.500 0.500
12 Te 0.000 0.000 0.000
13 Te 0.000 0.500 0.000
14 Te 0.500 0.000 0.000
15 Te 0.500 0.500 0.000
16 N 0.000 0.000 0.500

As for the spin magnetization: 0.000 μB per formula unit. As for the uncorrected formation energy: -1.2034 eV/atom.

***

(12)
Ba2Na15Sr2: relaxed, PBE-GGA.

abc: 9.373 9.373 9.373
angles: 83.42 83.42 83.42
Sites, in units of the cell vectors:
1 Ba 0.149 0.149 0.149
2 Ba 0.851 0.851 0.851
3 Na 0.000 0.500 0.500
4 Na 0.143 0.143 0.656
5 Na 0.143 0.656 0.143
6 Na 0.202 0.500 0.798
7 Na 0.202 0.798 0.500
8 Na 0.344 0.857 0.857
9 Na 0.500 0.000 0.500
10 Na 0.500 0.202 0.798
11 Na 0.500 0.500 0.000
12 Na 0.500 0.798 0.202
13 Na 0.656 0.143 0.143
14 Na 0.798 0.202 0.500
15 Na 0.798 0.500 0.202
16 Na 0.857 0.344 0.857
17 Na 0.857 0.857 0.344
18 Sr 0.391 0.391 0.391
19 Sr 0.609 0.609 0.609

As for the spin magnetization: 0.000 μB per formula unit. Its formation enthalpy at 0 K is 28 meV/atom.